DFT (PBE) results for a geometry-optimized BeAs2Br structure.

abc: 7.097 7.097 7.097
angles: 29.78 29.78 29.78
Atoms (fractional coordinates):
Be (0.000, 0.000, 0.000)
As (0.279, 0.279, 0.279)
As (0.721, 0.721, 0.721)
Br (0.500, 0.500, 0.500)

Values from the calculation:
As for the excess energy over the best structure of this formula in the dataset: 213.0 meV/atom. Its total DFT energy (no corrections) is -3.5458 eV/atom. The value obtained for the energy relative to the elements, uncorrected is 0.129 eV per atom. The total magnetic moment is 0.00 μB/atom.